Record 1
Below is a crystal of MnAlCr2Ru relaxed with PBEsol, with properties calculated at the SCAN level.

Output
total magnetization = 9.87 μB/f.u.
Fermi-level density of states = 0.845 states/eV/atom

a b c (Å): 4.4247 4.4247 4.6839
angles (deg): 90.00 90.00 90.00
Atoms (fractional coordinates):
Mn1 0.0000 0.0000 0.0000
Al1 0.5000 0.5000 0.0000
Cr1 0.0000 0.5000 0.5000
Cr2 0.5000 0.0000 0.5000
Ru1 0.0000 0.0000 0.5000



Record 2
Below is a crystal of Al2CrMo relaxed with PBEsol, with properties calculated at the SCAN level.

Output
total magnetization = 0.02 μB/f.u.
Fermi-level density of states = 0.735 states/eV/atom
polymorph energy (0 for the lowest one) = 172 meV per atom

a b c (Å): 2.6422 4.0247 5.2463
angles (deg): 90.00 90.00 90.00
Atoms (fractional coordinates):
Al1 0.0000 0.0000 0.2441
Al2 0.0000 0.0000 0.7559
Cr1 0.5000 0.5000 0.0000
Mo1 0.5000 0.5000 0.5000



Record 3
Below is a crystal of Al2CrMo relaxed with PBEsol, with properties calculated at the SCAN level.

Output
total magnetization = 0.00 μB/f.u.
Fermi-level density of states = 0.740 states/eV/atom
polymorph energy (0 for the lowest one) = 265 meV per atom

a b c (Å): 8.8759 8.8759 8.8759
angles (deg): 17.74 17.74 17.74
Atoms (fractional coordinates):
Al1 0.2464 0.2464 0.2464
Al2 0.7536 0.7536 0.7536
Cr1 0.5000 0.5000 0.5000
Mo1 0.0000 0.0000 0.0000



Record 4
Below is a crystal of AlCrMo2 relaxed with PBEsol, with properties calculated at the SCAN level.

Output
total magnetization = 2.95 μB/f.u.
Fermi-level density of states = 0.123 states/eV/atom

a b c (Å): 4.3310 4.3310 4.3310
angles (deg): 60.00 60.00 60.00
Atoms (fractional coordinates):
Al1 0.0000 0.0000 0.0000
Cr1 0.7500 0.7500 0.7500
Mo1 0.2500 0.2500 0.2500
Mo2 0.5000 0.5000 0.5000



Record 5
Below is a crystal of AlCrMo2 relaxed with PBEsol, with properties calculated at the SCAN level.

Output
total magnetization = 0.00 μB/f.u.
Fermi-level density of states = 0.822 states/eV/atom

a b c (Å): 2.6433 4.2803 5.0622
angles (deg): 90.00 100.64 90.00
Atoms (fractional coordinates):
Al1 0.0000 0.0000 0.0000
Cr1 0.7647 0.5000 0.2442
Mo1 0.3358 0.5000 0.7554
Mo2 0.5562 0.0000 0.4847



Record 6
Below is a crystal of Al2CrMo relaxed with PBEsol, with properties calculated at the SCAN level.

Output
total magnetization = 2.85 μB/f.u.
Fermi-level density of states = 0.643 states/eV/atom
polymorph energy (0 for the lowest one) = 95 meV per atom

a b c (Å): 4.7777 4.7777 2.6947
angles (deg): 90.00 90.00 113.06
Atoms (fractional coordinates):
Al1 0.0000 0.5000 0.0000
Al2 0.5000 0.0000 0.0000
Cr1 0.0000 0.0000 0.5000
Mo1 0.5000 0.5000 0.5000



Record 7
Below is a crystal of Al2CrMo relaxed with PBEsol, with properties calculated at the SCAN level.

Output
total magnetization = 0.00 μB/f.u.
Fermi-level density of states = 0.519 states/eV/atom
polymorph energy (0 for the lowest one) = 109 meV per atom

a b c (Å): 2.6344 2.6344 8.2310
angles (deg): 90.00 90.00 104.36
Atoms (fractional coordinates):
Al1 0.0000 0.0000 0.2368
Al2 0.0000 0.0000 0.7632
Cr1 0.5000 0.5000 0.0000
Mo1 0.5000 0.5000 0.5000



Record 8
Below is a crystal of AlCr3Mo relaxed with PBEsol, with properties calculated at the SCAN level.

Output
total magnetization = 5.10 μB/f.u.
Fermi-level density of states = 0.860 states/eV/atom

a b c (Å): 4.2291 4.2291 4.2291
angles (deg): 90.00 90.00 90.00
Atoms (fractional coordinates):
Al1 0.0000 0.0000 0.0000
Cr1 0.0000 0.0000 0.5000
Cr2 0.0000 0.5000 0.0000
Cr3 0.5000 0.0000 0.0000
Mo1 0.5000 0.5000 0.5000



Record 9
Below is a crystal of AlCr4Mo relaxed with PBEsol, with properties calculated at the SCAN level.

Output
total magnetization = 0.00 μB/f.u.
Fermi-level density of states = 0.557 states/eV/atom

a b c (Å): 4.7269 4.7269 4.7269
angles (deg): 60.00 60.00 60.00
Atoms (fractional coordinates):
Al1 0.0000 0.0000 0.0000
Cr1 0.3748 0.3748 0.3748
Cr2 0.3748 0.3748 0.8756
Cr3 0.3748 0.8756 0.3748
Cr4 0.8756 0.3748 0.3748
Mo1 0.7500 0.7500 0.7500



Record 10
Below is a crystal of AlCr2Mo2 relaxed with PBEsol, with properties calculated at the SCAN level.

Output
total magnetization = 0.00 μB/f.u.
Fermi-level density of states = 0.818 states/eV/atom

a b c (Å): 5.4811 5.4811 5.4811
angles (deg): 136.45 136.45 63.29
Atoms (fractional coordinates):
Al1 0.0000 0.0000 0.0000
Cr1 0.3860 0.3860 0.0000
Cr2 0.6140 0.6140 0.0000
Mo1 0.2500 0.7500 0.5000
Mo2 0.7500 0.2500 0.5000



Record 11
Below is a crystal of Al2CrMo relaxed with PBEsol, with properties calculated at the SCAN level.

Output
total magnetization = 1.98 μB/f.u.
Fermi-level density of states = 0.494 states/eV/atom
polymorph energy (0 for the lowest one) = 560 meV per atom

a b c (Å): 5.4597 5.4597 5.4597
angles (deg): 103.25 103.25 122.78
Atoms (fractional coordinates):
Al1 0.1101 0.1250 0.4851
Al2 0.3750 0.8899 0.0149
Al3 0.6399 0.6250 0.5149
Al4 0.8750 0.3601 0.9851
Cr1 0.0000 0.0000 0.0000
Cr2 0.7500 0.2500 0.5000
Mo1 0.2500 0.7500 0.5000
Mo2 0.5000 0.5000 0.0000



Record 12
Below is a crystal of AlCrMo relaxed with PBEsol, with properties calculated at the SCAN level.

Output
total magnetization = 0.51 μB/f.u.
Fermi-level density of states = 0.614 states/eV/atom

a b c (Å): 4.8992 4.8992 4.8992
angles (deg): 143.58 143.58 52.46
Atoms (fractional coordinates):
Al1 0.0000 0.0000 0.0000
Cr1 0.3262 0.3262 0.0000
Mo1 0.6868 0.6868 0.0000



Record 13
Below is a crystal of Al2CrMo relaxed with PBEsol, with properties calculated at the SCAN level.

Output
total magnetization = 0.01 μB/f.u.
Fermi-level density of states = 0.469 states/eV/atom
polymorph energy (0 for the lowest one) = 0 meV per atom

a b c (Å): 3.0871 3.0871 5.8499
angles (deg): 90.00 90.00 90.00
Atoms (fractional coordinates):
Al1 0.0000 0.0000 0.0000
Al2 0.5000 0.5000 0.2722
Cr1 0.0000 0.0000 0.5162
Mo1 0.5000 0.5000 0.7363



Record 14
Below is a crystal of AlCrMo2 relaxed with PBEsol, with properties calculated at the SCAN level.

Output
total magnetization = 1.73 μB/f.u.
Fermi-level density of states = 0.962 states/eV/atom

a b c (Å): 9.0762 9.0762 9.0762
angles (deg): 17.27 17.27 17.27
Atoms (fractional coordinates):
Al1 0.0000 0.0000 0.0000
Cr1 0.7446 0.7446 0.7446
Mo1 0.2465 0.2465 0.2465
Mo2 0.4914 0.4914 0.4914



Record 15
Below is a crystal of AlCrMo relaxed with PBEsol, with properties calculated at the SCAN level.

Output
total magnetization = 0.00 μB/f.u.
Fermi-level density of states = 0.510 states/eV/atom

a b c (Å): 4.2286 4.2286 2.6313
angles (deg): 90.00 90.00 120.00
Atoms (fractional coordinates):
Al1 0.0000 0.0000 0.0000
Cr1 0.6667 0.3333 0.3455
Mo1 0.3333 0.6667 0.5867



Number 1: formation energy 964 meV per atom, calculated total energy -92.78 eV for the cell shown. Number 2: formation energy -21 meV per atom, calculated total energy -68.86 eV for the cell shown. Number 3: formation energy 72 meV per atom, calculated total energy -68.48 eV for the cell shown. Number 4: formation energy -151 meV per atom, calculated total energy -96.51 eV for the cell shown. Number 5: formation energy -21 meV per atom, calculated total energy -95.99 eV for the cell shown. Number 6: formation energy -97 meV per atom, calculated total energy -69.16 eV for the cell shown. Number 7: formation energy -84 meV per atom, calculated total energy -69.11 eV for the cell shown. Number 8: formation energy 1482 meV per atom, calculated total energy -90.38 eV for the cell shown. Number 9: formation energy -59 meV per atom, calculated total energy -116.53 eV for the cell shown. Number 10: formation energy 598 meV per atom, calculated total energy -111.30 eV for the cell shown. Number 11: formation energy 367 meV per atom, calculated total energy -134.61 eV for the cell shown. Number 12: formation energy -151 meV per atom, calculated total energy -61.47 eV for the cell shown. Number 13: formation energy -193 meV per atom, calculated total energy -69.54 eV for the cell shown. Number 14: formation energy 294 meV per atom, calculated total energy -94.73 eV for the cell shown. Number 15: formation energy -153 meV per atom, calculated total energy -61.48 eV for the cell shown.